Entry 1:
This record from Alexandria via LeMat-Bulk describes a geometry-optimized Zr2CuHg structure. The functional is PBE.

Results
formation energy = -0.075 eV/atom
spin magnetization = 0.0 μB per cell
space group = Cmmm

Geometry as extended XYZ:
```
4
Lattice="2.930 -4.111 0.000 2.930 4.111 0.000 0.000 0.000 3.284" Properties=species:S:1:pos:R:3 pbc="T T T"
Zr 1.465 2.055 0.000
Zr 1.465 -2.055 0.000
Cu 0.000 0.000 1.642
Hg 2.930 0.000 1.642
```

***

Entry 2:
This record from Alexandria via LeMat-Bulk describes a geometry-optimized Ce2HfVN5 structure. The functional is PBE.

Results
spin magnetization = 2.9 μB per cell
space group = Cmc2_1
ΔE_f (raw) = -1.413 eV/atom

Geometry as extended XYZ:
```
18
Lattice="1.672 -6.696 0.000 1.672 6.696 0.000 0.000 0.000 10.315" Properties=species:S:1:pos:R:3 pbc="T T T"
Ce 1.672 5.189 5.158
Ce 1.672 4.783 1.066
Ce 1.672 -4.783 6.224
Ce 1.672 -5.189 0.000
Hf 1.672 3.869 8.390
Hf 1.672 -3.869 3.232
V 1.672 0.216 2.807
V 1.672 -0.216 7.965
N 1.672 6.091 8.771
N 1.672 2.899 4.755
N 1.672 2.475 1.857
N 1.672 1.723 8.350
N 1.672 0.112 6.161
N 1.672 -0.112 1.003
N 1.672 -1.723 3.192
N 1.672 -2.475 7.015
N 1.672 -2.899 9.912
N 1.672 -6.091 3.613
```

***

Entry 3:
This record from Alexandria via LeMat-Bulk describes a geometry-optimized Ga2Ag6Sn structure. The functional is PBE.

Results
formation energy = 0.020 eV/atom
spin magnetization = 0.0 μB per cell
polymorph energy (0 for the lowest one) = 0 meV/atom
space group = C2/c

Geometry as extended XYZ:
```
18
Lattice="8.624 -4.471 0.000 8.624 4.471 0.000 -0.974 0.000 4.412" Properties=species:S:1:pos:R:3 pbc="T T T"
Ga 5.290 2.927 3.821
Ga 10.497 2.927 2.798
Ga 5.777 -2.927 1.614
Ga 10.984 -2.927 0.592
Ag 7.161 3.500 1.931
Ag 3.393 1.024 3.053
Ag 9.600 3.500 0.275
Ag 5.873 0.955 1.221
Ag 3.880 -1.024 0.847
Ag 5.386 -0.955 3.427
Ag 10.887 0.955 0.986
Ag 12.393 1.024 3.566
Ag 10.400 -0.955 3.192
Ag 6.674 -3.500 4.137
Ag 12.880 -1.024 1.359
Ag 9.113 -3.500 2.481
Sn 7.893 1.012 3.309
Sn 8.380 -1.012 1.103
```